LaAgP2 after structural relaxation, computed with GGA-PBE.

Values from the calculation:
SG	Cmmm (65)
formation enthalpy at 0 K	-359	meV/atom

abc: 3.8318 3.8318 6.5181
angles: 90.00 90.00 112.01
Element x y z (fractional)
Ag1 0.5000 0.5000 0.2500
P1 0.0000 0.0000 0.0440
P2 0.0000 0.0000 0.4560
La1 0.5000 0.5000 0.7500

LaAgP2 after structural relaxation, computed with GGA-PBE.

Values from the calculation:
SG	P2/m (10)
formation enthalpy at 0 K	-671	meV/atom

abc: 3.9501 4.2128 5.5560
angles: 89.76 90.00 90.00
Element x y z (fractional)
Ag1 0.5000 0.2500 0.2500
P1 0.0000 0.2469 0.9503
P2 0.0000 0.2531 0.5497
La1 0.5000 0.7500 0.7500

LaAgP2 after structural relaxation, computed with GGA-PBE.

Values from the calculation:
SG	F-43m (216)
formation enthalpy at 0 K	-123	meV/atom

abc: 4.9151 4.9151 4.9151
angles: 60.00 60.00 60.00
Element x y z (fractional)
La1 0.2500 0.2500 0.2500
P1 0.0000 0.0000 0.0000
P2 0.7500 0.7500 0.7500
Ag1 0.5000 0.5000 0.5000

LaAgP4 after structural relaxation, computed with GGA-PBE.

Values from the calculation:
SG	F-43m (216)
formation enthalpy at 0 K	-97	meV/atom

abc: 5.4050 5.4050 5.4050
angles: 60.00 60.00 60.00
Element x y z (fractional)
La1 0.0000 0.0000 0.0000
P1 0.8370 0.3877 0.3877
P2 0.3877 0.3877 0.3877
P3 0.3877 0.3877 0.8370
P4 0.3877 0.8370 0.3877
Ag1 0.7500 0.7500 0.7500

LaAg2P after structural relaxation, computed with GGA-PBE.

Values from the calculation:
SG	P4/mmm (123)
formation enthalpy at 0 K	-418	meV/atom

abc: 4.1532 4.1565 5.2885
angles: 90.00 90.00 90.00
Element x y z (fractional)
La1 0.5000 0.0000 0.5000
Ag1 0.0000 0.0000 0.0000
Ag2 0.5000 0.5000 0.0000
P1 0.0000 0.5000 0.5000

La2AgP after structural relaxation, computed with GGA-PBE.

Values from the calculation:
SG	R3m (160)
formation enthalpy at 0 K	-843	meV/atom

abc: 4.1831 4.1831 8.1028
angles: 75.05 75.05 60.01
Element x y z (fractional)
Ag1 0.5001 0.5001 0.4996
La1 0.0722 0.0722 0.7836
La2 0.2615 0.2615 0.2155
P1 0.6662 0.6662 0.0013

La2AgP after structural relaxation, computed with GGA-PBE.

Values from the calculation:
SG	I-4m2 (119)
formation enthalpy at 0 K	-606	meV/atom

abc: 6.2507 6.2507 6.2507
angles: 139.46 139.46 58.67
Element x y z (fractional)
La1 0.2500 0.7500 0.5000
La2 0.0000 0.0000 0.0000
P1 0.5000 0.5000 0.0000
Ag1 0.7500 0.2500 0.5000

LaAg2P after structural relaxation, computed with GGA-PBE.

Values from the calculation:
SG	P4mm (99)
formation enthalpy at 0 K	-344	meV/atom

abc: 4.0633 4.0636 6.0772
angles: 90.00 90.00 90.00
Element x y z (fractional)
P1 0.5000 0.5000 0.6755
Ag1 0.5000 0.5000 0.1020
Ag2 0.0000 0.0000 0.1139
La1 0.0000 0.0000 0.6086

LaAgP2 after structural relaxation, computed with GGA-PBE.

Values from the calculation:
SG	R3m (160)
formation enthalpy at 0 K	16	meV/atom

abc: 8.7969 8.7969 8.7969
angles: 22.15 22.15 22.15
Element x y z (fractional)
Ag1 0.4852 0.4852 0.4852
P1 0.7366 0.7366 0.7366
P2 0.0214 0.0214 0.0214
La1 0.2567 0.2567 0.2567

LaAgP2 after structural relaxation, computed with GGA-PBE.

Values from the calculation:
SG	P4/mmm (123)
formation enthalpy at 0 K	-465	meV/atom

abc: 4.5823 4.5826 3.9509
angles: 90.00 90.00 90.00
Element x y z (fractional)
La1 0.0000 0.5000 0.5000
P1 0.0000 0.0000 0.0000
P2 0.5000 0.5000 0.0000
Ag1 0.5000 0.0000 0.5000

LaAgP2 after structural relaxation, computed with GGA-PBE.

Values from the calculation:
SG	C2/m (12)
formation enthalpy at 0 K	-574	meV/atom

abc: 4.7865 4.7865 5.8957
angles: 55.87 55.87 55.65
Element x y z (fractional)
P1 0.4310 0.4310 0.5702
P2 0.0690 0.0690 0.9298
La1 0.2500 0.2500 0.2500
Ag1 0.7500 0.7500 0.7500

LaAg2P after structural relaxation, computed with GGA-PBE.

Values from the calculation:
SG	C2/m (12)
formation enthalpy at 0 K	-464	meV/atom

abc: 6.2698 6.2698 4.1133
angles: 79.98 79.98 37.88
Element x y z (fractional)
P1 0.5000 0.5000 0.5000
Ag1 0.2861 0.2861 0.7372
Ag2 0.7139 0.7139 0.2628
La1 0.0000 0.0000 0.0000

LaAg2P after structural relaxation, computed with GGA-PBE.

Values from the calculation:
SG	I4/mmm (139)
formation enthalpy at 0 K	-378	meV/atom

abc: 5.8965 5.8965 5.8965
angles: 138.27 138.27 60.49
Element x y z (fractional)
P1 0.7500 0.2500 0.5000
La1 0.2500 0.7500 0.5000
Ag1 0.0000 0.0000 0.0000
Ag2 0.5000 0.5000 0.0000

LaAgP2 after structural relaxation, computed with GGA-PBE.

Values from the calculation:
SG	P4mm (99)
formation enthalpy at 0 K	-519	meV/atom

abc: 4.7418 4.0210 4.7420
angles: 90.00 90.00 90.00
Element x y z (fractional)
P1 0.0000 0.2023 0.8751
P2 0.5000 0.2021 0.3747
La1 0.5000 0.6900 0.8749
Ag1 0.0000 0.4057 0.3752

La4Ag2P after structural relaxation, computed with GGA-PBE.

Values from the calculation:
SG	I4/mmm (139)
formation enthalpy at 0 K	-403	meV/atom

abc: 5.6489 5.6489 8.4395
angles: 109.55 109.55 90.00
Element x y z (fractional)
La1 0.8098 0.8098 0.6196
La2 0.1902 0.1902 0.3804
La3 0.0000 0.5000 0.0000
La4 0.5000 0.0000 0.0000
Ag1 0.3924 0.3924 0.7849
Ag2 0.6076 0.6076 0.2151
P1 0.0000 0.0000 0.0000

La2AgP after structural relaxation, computed with GGA-PBE.

Values from the calculation:
SG	R3m (160)
formation enthalpy at 0 K	-466	meV/atom

abc: 7.8037 7.8037 7.8037
angles: 31.57 31.57 31.57
Element x y z (fractional)
La1 0.2199 0.2199 0.2199
La2 0.0274 0.0274 0.0274
P1 0.4658 0.4658 0.4658
Ag1 0.7868 0.7868 0.7868

LaAg2P after structural relaxation, computed with GGA-PBE.

Values from the calculation:
SG	I-42d (122)
formation enthalpy at 0 K	-359	meV/atom

abc: 4.1347 4.1347 11.4789
angles: 79.62 79.62 90.00
Element x y z (fractional)
P1 0.2500 0.7500 0.5000
P2 0.5000 0.5000 0.0000
Ag1 0.3750 0.3924 0.7500
Ag2 0.6076 0.1250 0.2500
Ag3 0.1424 0.6250 0.2500
Ag4 0.8750 0.8576 0.7500
La1 0.7500 0.2500 0.5000
La2 0.0000 0.0000 0.0000

LaAg2P after structural relaxation, computed with GGA-PBE.

Values from the calculation:
SG	Pm (6)
formation enthalpy at 0 K	-492	meV/atom

abc: 3.9699 4.0682 5.9637
angles: 70.43 90.00 90.00
Element x y z (fractional)
La1 0.0000 0.5199 0.5820
P1 0.5000 0.9591 0.7076
Ag1 0.0000 0.7973 0.0325
Ag2 0.5000 0.2237 0.1779

LaAg2P after structural relaxation, computed with GGA-PBE.

Values from the calculation:
SG	Cm (8)
formation enthalpy at 0 K	-444	meV/atom

abc: 4.6193 4.6193 5.4592
angles: 65.04 65.04 60.13
Element x y z (fractional)
Ag1 0.7288 0.7288 0.8138
Ag2 0.9780 0.9780 0.0661
P1 0.2906 0.2906 0.1293
La1 0.5025 0.5025 0.4909

La2AgP after structural relaxation, computed with GGA-PBE.

Values from the calculation:
SG	P4/mmm (123)
formation enthalpy at 0 K	-776	meV/atom

abc: 3.7443 3.7443 7.3266
angles: 90.00 90.00 90.00
Element x y z (fractional)
P1 0.5000 0.5000 0.2500
La1 0.0000 0.0000 0.0271
La2 0.0000 0.0000 0.4729
Ag1 0.5000 0.5000 0.7500

no.,VASP energy (eV per atom)
1,-5.009
2,-5.321
3,-4.773
4,-5.000
5,-4.427
6,-5.372
7,-5.135
8,-4.354
9,-4.633
10,-5.114
11,-5.224
12,-4.474
13,-4.388
14,-5.168
15,-4.807
16,-4.995
17,-4.369
18,-4.502
19,-4.454
20,-5.305